Ba2Ta3MoO12, relaxed, DFT PBE+U; space-group type = R-3m (166); total energy = -8.56 eV/atom; mass density = 6.29 g/cm³; total moment = 1.0 μB/cell; Fermi-level density of states = 0.000 states/eV/atom
1.0
-3.269 0.032 6.646
-4.906 -5.297 1.653
1.809 -5.199 4.955
O Ta Ba Mo
12 3 2 1
Cartesian
-1.257 -3.817 8.032
-7.028 -6.552 9.296
-5.108 -6.647 5.222
-3.920 -9.752 8.261
0.662 -3.913 3.958
-3.447 -3.973 1.938
-4.073 -3.278 8.380
-5.503 -3.879 5.944
-0.862 -6.586 7.311
-2.445 -0.712 4.993
-2.292 -7.186 4.874
-2.918 -6.492 11.316
-2.453 -2.648 0.827
-1.634 0.016 3.323
0.905 -2.600 2.478
-4.296 -7.062 8.945
-2.069 -3.402 4.309
0.000 0.000 0.000